No. 1
DFT (PBE-GGA) results for crystalline AcThBiTe at its relaxed geometry.

Unit cell a=8.0078 b=8.0078 c=8.0078 alpha=90.00 beta=90.00 gamma=90.00
Space group F-43m (No. 216)
Symmetry-distinct sites (fractional):
Ac 0.0000 0.0000 0.0000 [4 per cell]
Th 0.0000 0.0000 0.5000 [4 per cell]
Bi 0.2500 0.2500 0.2500 [4 per cell]
Te 0.2500 0.2500 0.7500 [4 per cell]

The calculation puts the uncorrected formation energy at -3.617 eV/f.u. The distance to the lowest polymorph of the same formula comes out at 0.0 meV per atom. The calculation puts the volume at 32.1 Å³ per atom. Its electronic total energy is -88.7 eV for the cell shown.

---

No. 2
DFT (PBE-GGA) results for crystalline Tb5SmSc2 at its relaxed geometry.

Unit cell a=7.1392 b=11.1424 c=12.3078 alpha=90.00 beta=90.00 gamma=90.00
Space group Fmm2 (No. 42)
Symmetry-distinct sites (fractional):
Tb 0.0000 0.0000 0.0000 [4 per cell]
Tb 0.2500 0.0000 0.2469 [8 per cell]
Tb 0.2500 0.2500 0.4171 [8 per cell]
Sm 0.0000 0.0000 0.5011 [4 per cell]
Sc 0.0000 0.2495 0.1646 [8 per cell]

For the formation energy, the calculation gives 0.3 eV per formula unit. The distance to the lowest polymorph of the same formula comes out at 0.0 meV per atom. The calculation puts the volume at 30.6 Å³ per atom. Its electronic total energy is -160.8 eV for the cell shown.

---

No. 3
DFT (PBE-GGA) results for crystalline MoPt2Br at its relaxed geometry.

Unit cell a=3.0476 b=3.5124 c=7.2837 alpha=90.00 beta=90.00 gamma=90.00
Space group Pmm2 (No. 25)
Symmetry-distinct sites (fractional):
Mo 0.0000 0.0000 0.0000 [1 per cell]
Pt 0.0000 0.0000 0.6260 [1 per cell]
Pt 0.5000 0.5000 0.8261 [1 per cell]
Br 0.0000 0.5000 0.2683 [1 per cell]

The calculation puts the uncorrected formation energy at 0.556 eV/f.u. The distance to the lowest polymorph of the same formula comes out at 91.8 meV per atom. The calculation puts the volume at 19.5 Å³ per atom. Its electronic total energy is -24.0 eV for the cell shown.

---

No. 4
DFT (PBE-GGA) results for crystalline CsLi2TbCl6 at its relaxed geometry.

Unit cell a=6.7004 b=6.9481 c=8.5000 alpha=89.71 beta=71.04 gamma=62.83
Space group P-1 (No. 2)
Symmetry-distinct sites (fractional):
Cs 0.0000 0.0000 0.0000 [1 per cell]
Li 0.4471 0.8088 0.4152 [2 per cell]
Tb 0.0000 0.5000 0.5000 [1 per cell]
Cl 0.1601 0.7598 0.3389 [2 per cell]
Cl 0.1751 0.5092 0.7357 [2 per cell]
Cl 0.4381 0.1496 0.3369 [2 per cell]

The calculation puts the uncorrected formation energy at -20.584 eV/f.u. The calculation puts the volume at 32.8 Å³ per atom. Its electronic total energy is -41.0 eV for the cell shown.